[1]
VASP calculation (GGA-PBE) on a relaxed Ac5La2Sm3 crystal.

## Properties
The crystal system is monoclinic. For the total DFT energy (no corrections), the calculation gives -44.259 eV/f.u. As for the symmetry: C2/m (12). The formation energy is 30 meV per atom.

a = 5.4862 Å, b = 6.5758 Å, c = 13.6786 Å
α = 117.62°, β = 101.55°, γ = 65.35°
Element x y z (fractional)
Ac1 0.0000 0.0000 0.0000
Ac2 0.1998 0.2007 0.6001
Ac3 0.8002 0.7993 0.3999
Ac4 0.3993 0.4000 0.1988
Ac5 0.6007 0.6000 0.8012
La1 0.0997 0.1005 0.2999
La2 0.9003 0.8995 0.7001
Sm1 0.5000 0.5000 0.5000
Sm2 0.7011 0.6965 0.0988
Sm3 0.2989 0.3035 0.9012

[2]
VASP calculation (GGA-PBE) on a relaxed VRu2Br crystal.

## Properties
The crystal system is cubic. Its energy above the lowest structure with this stoichiometry is 0.0 meV per atom. For the total DFT energy (no corrections), the calculation gives -26.242 eV/f.u. As for the symmetry: Fm-3m (225). As for the formation energy without anion corrections: 775 meV/atom.

a = 4.4160 Å, b = 4.4160 Å, c = 4.4160 Å
α = 60.00°, β = 60.00°, γ = 60.00°
Each line ends with the local moment (μB).
Element x y z (fractional)
Ru1 0.2500 0.2500 0.2500  -0.56
Ru2 0.7500 0.7500 0.7500  -0.56
Br1 0.5000 0.5000 0.5000  -0.04
V1 0.0000 0.0000 0.0000  1.29

[3]
VASP calculation (GGA-PBE) on a relaxed Ba3Bi3N5 crystal.

## Properties
The crystal system is triclinic. For the total DFT energy (no corrections), the calculation gives -59.261 eV/f.u. As for the symmetry: P-1 (2). As for the formation energy without anion corrections: -20 meV/atom.

a = 6.6792 Å, b = 8.6030 Å, c = 9.9031 Å
α = 107.23°, β = 101.23°, γ = 99.90°
Element x y z (fractional)
Ba1 0.7696 0.5060 0.6184
Ba2 0.2304 0.4940 0.3816
Ba3 0.6954 0.8553 0.9486
Ba4 0.3046 0.1447 0.0514
Ba5 0.6574 0.6673 0.2367
Ba6 0.3426 0.3327 0.7633
Bi1 0.8662 0.3243 0.0020
Bi2 0.1338 0.6757 0.9980
Bi3 0.7154 0.9749 0.6389
Bi4 0.2846 0.0251 0.3611
Bi5 0.1988 0.8303 0.6852
Bi6 0.8012 0.1697 0.3148
N1 0.9875 0.9514 0.8054
N2 0.0125 0.0486 0.1946
N3 0.5938 0.7145 0.5062
N4 0.4062 0.2855 0.4938
N5 0.7722 0.5296 0.9235
N6 0.2278 0.4704 0.0765
N7 0.4931 0.0288 0.7956
N8 0.5069 0.9712 0.2044
N9 0.2287 0.6258 0.7859
N10 0.7713 0.3742 0.2141

[4]
VASP calculation (GGA-PBE) on a relaxed La2DyH crystal.

## Properties
The crystal system is trigonal. Its energy above the lowest structure with this stoichiometry is 7.1 meV per atom. For the total DFT energy (no corrections), the calculation gives -18.399 eV/f.u. As for the symmetry: R-3m (166).

a = 3.7197 Å, b = 3.7197 Å, c = 9.2225 Å
α = 78.37°, β = 78.37°, γ = 60.00°
Element x y z (fractional)
H1 0.0000 0.0000 0.0000
La1 0.7234 0.7234 0.8297
La2 0.2766 0.2766 0.1703
Dy1 0.5000 0.5000 0.5000

[5]
VASP calculation (GGA-PBE) on a relaxed Sm12Tl5Ag2 crystal.

## Properties
The crystal system is monoclinic. For the total DFT energy (no corrections), the calculation gives -76.620 eV/f.u. As for the symmetry: C2/m (12). The formation energy is -129 meV per atom.

a = 7.3811 Å, b = 9.4465 Å, c = 9.2338 Å
α = 84.30°, β = 90.00°, γ = 113.00°
Element x y z (fractional)
Sm1 0.9600 0.9200 0.1869
Sm2 0.0823 0.6779 0.9229
Sm3 0.5956 0.6779 0.9229
Sm4 0.1034 0.6997 0.5079
Sm5 0.5962 0.6997 0.5079
Sm6 0.4971 0.9942 0.6938
Sm7 0.5029 0.0058 0.3062
Sm8 0.8966 0.3003 0.4921
Sm9 0.4038 0.3003 0.4921
Sm10 0.9177 0.3221 0.0771
Sm11 0.4044 0.3221 0.0771
Sm12 0.0400 0.0800 0.8131
Tl1 0.2281 0.4563 0.7485
Tl2 0.3012 0.6023 0.2364
Tl3 0.0000 0.0000 0.5000
Tl4 0.6988 0.3977 0.7636
Tl5 0.7719 0.5437 0.2515
Ag1 0.6797 0.0000 0.0000
Ag2 0.3203 0.0000 0.0000

[6]
VASP calculation (GGA-PBE) on a relaxed Li2Y2BPt4 crystal.

## Properties
The crystal system is tetragonal. For the total DFT energy (no corrections), the calculation gives -54.931 eV/f.u. As for the symmetry: I4/mmm (139). The formation energy is -815 meV per atom.

a = 5.9226 Å, b = 5.9226 Å, c = 5.9226 Å
α = 93.79°, β = 117.84°, γ = 117.84°
Element x y z (fractional)
Li1 0.0000 0.6980 0.6980
Li2 0.0000 0.3020 0.3020
Y1 0.5000 0.7500 0.2500
Y2 0.5000 0.2500 0.7500
B1 0.0000 0.0000 0.0000
Pt1 0.0000 0.7544 0.2456
Pt2 0.5088 0.7544 0.7544
Pt3 0.0000 0.2456 0.7544
Pt4 0.4912 0.2456 0.2456

Copy entry 5 word for word.
VASP calculation (GGA-PBE) on a relaxed Sm12Tl5Ag2 crystal.

## Properties
The crystal system is monoclinic. For the total DFT energy (no corrections), the calculation gives -76.620 eV/f.u. As for the symmetry: C2/m (12). The formation energy is -129 meV per atom.

a = 7.3811 Å, b = 9.4465 Å, c = 9.2338 Å
α = 84.30°, β = 90.00°, γ = 113.00°
Element x y z (fractional)
Sm1 0.9600 0.9200 0.1869
Sm2 0.0823 0.6779 0.9229
Sm3 0.5956 0.6779 0.9229
Sm4 0.1034 0.6997 0.5079
Sm5 0.5962 0.6997 0.5079
Sm6 0.4971 0.9942 0.6938
Sm7 0.5029 0.0058 0.3062
Sm8 0.8966 0.3003 0.4921
Sm9 0.4038 0.3003 0.4921
Sm10 0.9177 0.3221 0.0771
Sm11 0.4044 0.3221 0.0771
Sm12 0.0400 0.0800 0.8131
Tl1 0.2281 0.4563 0.7485
Tl2 0.3012 0.6023 0.2364
Tl3 0.0000 0.0000 0.5000
Tl4 0.6988 0.3977 0.7636
Tl5 0.7719 0.5437 0.2515
Ag1 0.6797 0.0000 0.0000
Ag2 0.3203 0.0000 0.0000

Repeat the fifth record exactly.
VASP calculation (GGA-PBE) on a relaxed Sm12Tl5Ag2 crystal.

## Properties
The crystal system is monoclinic. For the total DFT energy (no corrections), the calculation gives -76.620 eV/f.u. As for the symmetry: C2/m (12). The formation energy is -129 meV per atom.

a = 7.3811 Å, b = 9.4465 Å, c = 9.2338 Å
α = 84.30°, β = 90.00°, γ = 113.00°
Element x y z (fractional)
Sm1 0.9600 0.9200 0.1869
Sm2 0.0823 0.6779 0.9229
Sm3 0.5956 0.6779 0.9229
Sm4 0.1034 0.6997 0.5079
Sm5 0.5962 0.6997 0.5079
Sm6 0.4971 0.9942 0.6938
Sm7 0.5029 0.0058 0.3062
Sm8 0.8966 0.3003 0.4921
Sm9 0.4038 0.3003 0.4921
Sm10 0.9177 0.3221 0.0771
Sm11 0.4044 0.3221 0.0771
Sm12 0.0400 0.0800 0.8131
Tl1 0.2281 0.4563 0.7485
Tl2 0.3012 0.6023 0.2364
Tl3 0.0000 0.0000 0.5000
Tl4 0.6988 0.3977 0.7636
Tl5 0.7719 0.5437 0.2515
Ag1 0.6797 0.0000 0.0000
Ag2 0.3203 0.0000 0.0000